*P*
VASP calculation (PBE) on Sm6Rh3Au after structural relaxation.

CIF file:
```
data_Sm6Rh3Au
_cell_length_a 10.937
_cell_length_b 14.134
_cell_length_c 7.207
_cell_angle_alpha 90.00
_cell_angle_beta 90.00
_cell_angle_gamma 90.00
_symmetry_space_group_name_H-M 'C m c 21'
_symmetry_Int_Tables_number 36
loop_
_symmetry_equiv_pos_as_xyz
'x,y,z'
'-x,-y,z+1/2'
'-x,y,z'
'x,-y,z+1/2'
'x+1/2,y+1/2,z'
'-x+1/2,-y+1/2,z+1/2'
'-x+1/2,y+1/2,z'
'x+1/2,-y+1/2,z+1/2'
loop_
_atom_site_label
_atom_site_type_symbol
_atom_site_fract_x
_atom_site_fract_y
_atom_site_fract_z
Sm1 Sm 0.000 0.011 0.000
Sm2 Sm 0.000 0.232 0.652
Sm3 Sm 0.169 0.469 0.601
Sm4 Sm 0.177 0.279 0.048
Rh1 Rh 0.000 0.401 0.880
Rh2 Rh 0.183 0.111 0.797
Au1 Au 0.000 0.168 0.269
```

Output
volume	1113.9	Å³/cell
Fermi-level density of states	8.040	states/eV/f.u.

***

*Q*
VASP calculation (PBE) on Sm6Rh3Au after structural relaxation.

CIF file:
```
data_Sm6Rh3Au
_cell_length_a 11.856
_cell_length_b 4.114
_cell_length_c 11.875
_cell_angle_alpha 90.00
_cell_angle_beta 108.62
_cell_angle_gamma 90.00
_symmetry_space_group_name_H-M 'P 1 21/m 1'
_symmetry_Int_Tables_number 11
loop_
_symmetry_equiv_pos_as_xyz
'x,y,z'
'-x,-y,-z'
'-x,y+1/2,-z'
'x,-y+1/2,z'
loop_
_atom_site_label
_atom_site_type_symbol
_atom_site_fract_x
_atom_site_fract_y
_atom_site_fract_z
Sm1 Sm 0.044 0.250 0.375
Sm2 Sm 0.100 0.750 0.960
Sm3 Sm 0.233 0.250 0.783
Sm4 Sm 0.270 0.750 0.271
Sm5 Sm 0.395 0.250 0.562
Sm6 Sm 0.454 0.250 0.111
Rh1 Rh 0.011 0.750 0.197
Rh2 Rh 0.332 0.750 0.954
Rh3 Rh 0.434 0.250 0.342
Au1 Au 0.194 0.750 0.564
```

Output
volume	548.9	Å³/cell
Fermi-level density of states	6.531	states/eV/f.u.

***

Of them, *P* has the lowest stability.

***

*P*
VASP calculation (PBE) on TbSmRhAu after structural relaxation.

CIF file:
```
data_TbSmRhAu
_cell_length_a 7.123
_cell_length_b 7.123
_cell_length_c 7.123
_cell_angle_alpha 90.00
_cell_angle_beta 90.00
_cell_angle_gamma 90.00
_symmetry_space_group_name_H-M 'F -4 3 m'
_symmetry_Int_Tables_number 216
_symmetry_space_group_name_Hall 'F -4 2 3'
loop_
_atom_site_label
_atom_site_type_symbol
_atom_site_fract_x
_atom_site_fract_y
_atom_site_fract_z
Tb1 Tb 0.000 0.000 0.000
Sm1 Sm 0.000 0.000 0.500
Rh1 Rh 0.250 0.250 0.250
Au1 Au 0.250 0.250 0.750
```

Output
volume	361.4	Å³/cell
Fermi-level density of states	4.193	states/eV/f.u.

***

*Q*
VASP calculation (PBE) on TbSmRhAu after structural relaxation.

CIF file:
```
data_TbSmRhAu
_cell_length_a 4.593
_cell_length_b 3.841
_cell_length_c 10.605
_cell_angle_alpha 90.00
_cell_angle_beta 90.00
_cell_angle_gamma 90.00
_symmetry_space_group_name_H-M 'A m m 2'
_symmetry_Int_Tables_number 38
loop_
_symmetry_equiv_pos_as_xyz
'x,y,z'
'-x,-y,z'
'-x,y,z'
'x,-y,z'
'x,y+1/2,z+1/2'
'-x,-y+1/2,z+1/2'
'-x,y+1/2,z+1/2'
'x,-y+1/2,z+1/2'
loop_
_atom_site_label
_atom_site_type_symbol
_atom_site_fract_x
_atom_site_fract_y
_atom_site_fract_z
Tb1 Tb 0.000 0.000 0.000
Sm1 Sm 0.500 0.000 0.720
Rh1 Rh 0.500 0.000 0.456
Au1 Au 0.000 0.000 0.282
```

Output
volume	187.1	Å³/cell
Fermi-level density of states	2.543	states/eV/f.u.

***

Of them, *P* has the lowest stability.

***

*P*
VASP calculation (PBE) on Sn3RhAu after structural relaxation.

CIF file:
```
data_Sn3RhAu
_cell_length_a 6.999
_cell_length_b 7.102
_cell_length_c 9.697
_cell_angle_alpha 90.00
_cell_angle_beta 110.77
_cell_angle_gamma 90.00
_symmetry_space_group_name_H-M 'P 1 21/c 1'
_symmetry_Int_Tables_number 14
loop_
_symmetry_equiv_pos_as_xyz
'x,y,z'
'-x,-y,-z'
'-x,y+1/2,-z+1/2'
'x,-y+1/2,z+1/2'
loop_
_atom_site_label
_atom_site_type_symbol
_atom_site_fract_x
_atom_site_fract_y
_atom_site_fract_z
Sn1 Sn 0.037 0.167 0.407
Sn2 Sn 0.174 0.630 0.419
Sn3 Sn 0.437 0.036 0.237
Rh1 Rh 0.198 0.141 0.724
Au1 Au 0.454 0.201 0.516
```

Output
volume	450.7	Å³/cell
Fermi-level density of states	1.649	states/eV/f.u.

***

*Q*
VASP calculation (PBE) on Sn3RhAu after structural relaxation.

CIF file:
```
data_Sn3RhAu
_cell_length_a 5.100
_cell_length_b 5.100
_cell_length_c 5.100
_cell_angle_alpha 90.00
_cell_angle_beta 90.00
_cell_angle_gamma 90.00
_symmetry_space_group_name_H-M 'P m -3 m'
_symmetry_Int_Tables_number 221
_symmetry_space_group_name_Hall '-P 4 2 3'
loop_
_atom_site_label
_atom_site_type_symbol
_atom_site_fract_x
_atom_site_fract_y
_atom_site_fract_z
Sn1 Sn 0.000 0.000 0.500
Rh1 Rh 0.000 0.000 0.000
Au1 Au 0.500 0.500 0.500
```

Output
volume	132.6	Å³/cell
Fermi-level density of states	6.792	states/eV/f.u.

***

Of them, *Q* has the lowest stability.

***

*P*
VASP calculation (PBE) on SnRhAu after structural relaxation.

CIF file:
```
data_SnRhAu
_cell_length_a 4.4243
_cell_length_b 4.4243
_cell_length_c 3.2566
_cell_angle_alpha 90.00
_cell_angle_beta 90.00
_cell_angle_gamma 120.00
_symmetry_space_group_name_H-M 'P 3 m 1'
_symmetry_Int_Tables_number 156
loop_
_symmetry_equiv_pos_as_xyz
'x,y,z'
'-y,x-y,z'
'-x+y,-x,z'
'-y,-x,z'
'-x+y,y,z'
'x,x-y,z'
loop_
_atom_site_label
_atom_site_type_symbol
_atom_site_fract_x
_atom_site_fract_y
_atom_site_fract_z
Sn1 Sn 0.0000 0.0000 0.0000
Rh1 Rh 0.3333 0.6667 0.1956
Au1 Au 0.6667 0.3333 0.6350
```

Output
volume	55.2	Å³/cell
Fermi-level density of states	1.193	states/eV/f.u.

***

*Q*
VASP calculation (PBE) on SnRhAu after structural relaxation.

CIF file:
```
data_SnRhAu
_cell_length_a 6.267
_cell_length_b 6.267
_cell_length_c 6.267
_cell_angle_alpha 90.00
_cell_angle_beta 90.00
_cell_angle_gamma 90.00
_symmetry_space_group_name_H-M 'F -4 3 m'
_symmetry_Int_Tables_number 216
_symmetry_space_group_name_Hall 'F -4 2 3'
loop_
_atom_site_label
_atom_site_type_symbol
_atom_site_fract_x
_atom_site_fract_y
_atom_site_fract_z
Sn1 Sn 0.000 0.000 0.000
Rh1 Rh 0.250 0.250 0.250
Au1 Au 0.000 0.000 0.500
```

Output
volume	246.2	Å³/cell
Fermi-level density of states	1.713	states/eV/f.u.

***

*R*
VASP calculation (PBE) on SnRhAu after structural relaxation.

CIF file:
```
data_SnRhAu
_cell_length_a 3.400
_cell_length_b 3.400
_cell_length_c 20.509
_cell_angle_alpha 90.00
_cell_angle_beta 90.00
_cell_angle_gamma 90.00
_symmetry_space_group_name_H-M 'I 4/m m m'
_symmetry_Int_Tables_number 139
_symmetry_space_group_name_Hall '-I 4 2'
loop_
_atom_site_label
_atom_site_type_symbol
_atom_site_fract_x
_atom_site_fract_y
_atom_site_fract_z
Sn1 Sn 0.000 0.000 0.150
Rh1 Rh 0.000 0.000 0.294
Au1 Au 0.000 0.000 0.435
```

Output
volume	237.1	Å³/cell
Fermi-level density of states	2.258	states/eV/f.u.

***

Of them, *R* has the lowest stability.

***

*P*
VASP calculation (PBE) on Sn4RhAu after structural relaxation.

CIF file:
```
data_Sn4RhAu
_cell_length_a 4.611
_cell_length_b 4.611
_cell_length_c 6.705
_cell_angle_alpha 90.00
_cell_angle_beta 90.00
_cell_angle_gamma 90.00
_symmetry_space_group_name_H-M 'P 4/m m m'
_symmetry_Int_Tables_number 123
_symmetry_space_group_name_Hall '-P 4 2'
loop_
_atom_site_label
_atom_site_type_symbol
_atom_site_fract_x
_atom_site_fract_y
_atom_site_fract_z
Sn1 Sn 0.000 0.500 0.236
Rh1 Rh 0.000 0.000 0.000
Au1 Au 0.500 0.500 0.500
```

Output
volume	142.6	Å³/cell
Fermi-level density of states	2.374	states/eV/f.u.

***

*Q*
VASP calculation (PBE) on Sn4RhAu after structural relaxation.

CIF file:
```
data_Sn4RhAu
_cell_length_a 7.276
_cell_length_b 7.322
_cell_length_c 5.184
_cell_angle_alpha 90.00
_cell_angle_beta 90.00
_cell_angle_gamma 90.00
_symmetry_space_group_name_H-M 'P b a m'
_symmetry_Int_Tables_number 55
loop_
_symmetry_equiv_pos_as_xyz
'x,y,z'
'-x,-y,-z'
'-x,-y,z'
'x,y,-z'
'x+1/2,-y+1/2,-z'
'-x+1/2,y+1/2,z'
'-x+1/2,y+1/2,-z'
'x+1/2,-y+1/2,z'
loop_
_atom_site_label
_atom_site_type_symbol
_atom_site_fract_x
_atom_site_fract_y
_atom_site_fract_z
Sn1 Sn 0.146 0.130 0.000
Sn2 Sn 0.156 0.358 0.500
Rh1 Rh 0.000 0.000 0.500
Au1 Au 0.000 0.500 0.000
```

Output
volume	276.1	Å³/cell
Fermi-level density of states	2.519	states/eV/f.u.

***

Of them, *Q* has the lowest stability.

***

*P*
VASP calculation (PBE) on SnRhAu3 after structural relaxation.

CIF file:
```
data_SnRhAu3
_cell_length_a 5.024
_cell_length_b 5.024
_cell_length_c 5.024
_cell_angle_alpha 90.00
_cell_angle_beta 90.00
_cell_angle_gamma 90.00
_symmetry_space_group_name_H-M 'P m -3 m'
_symmetry_Int_Tables_number 221
_symmetry_space_group_name_Hall '-P 4 2 3'
loop_
_atom_site_label
_atom_site_type_symbol
_atom_site_fract_x
_atom_site_fract_y
_atom_site_fract_z
Sn1 Sn 0.000 0.000 0.000
Rh1 Rh 0.500 0.500 0.500
Au1 Au 0.000 0.500 0.500
```

Output
volume	126.8	Å³/cell
Fermi-level density of states	4.643	states/eV/f.u.

***

*Q*
VASP calculation (PBE) on SnRhAu3 after structural relaxation.

CIF file:
```
data_SnRhAu3
_cell_length_a 5.106
_cell_length_b 5.106
_cell_length_c 5.106
_cell_angle_alpha 90.00
_cell_angle_beta 90.00
_cell_angle_gamma 90.00
_symmetry_space_group_name_H-M 'P m -3 m'
_symmetry_Int_Tables_number 221
_symmetry_space_group_name_Hall '-P 4 2 3'
loop_
_atom_site_label
_atom_site_type_symbol
_atom_site_fract_x
_atom_site_fract_y
_atom_site_fract_z
Sn1 Sn 0.000 0.000 0.000
Rh1 Rh 0.500 0.500 0.500
Au1 Au 0.000 0.000 0.500
```

Output
volume	133.2	Å³/cell
Fermi-level density of states	7.144	states/eV/f.u.

***

Of them, *Q* has the lowest stability.